Record 1
Computed, not measured: an optimized crystal structure of Sc2NbSi2 at the GGA-PBE level of DFT.

The crystal system is tetragonal. The total magnetization is 0.0 μB per formula unit. The value obtained for the uncorrected formation energy is -0.69 eV/atom. The energy above the most stable polymorph in this dataset is 0.00 eV per formula unit. The calculation puts the density of states at the Fermi level at 0.64 states/eV per atom. Its space-group type is P4/mbm, No. 127. The raw total energy is -37.0 eV per formula unit.

a = 6.917 Å, b = 6.917 Å, c = 3.746 Å
α = 90.00°, β = 90.00°, γ = 90.00°
Atoms (fractional coordinates):
Si (0.373, 0.873, 0.000)
Nb (0.000, 0.000, 0.000)
Sc (0.324, 0.176, 0.500)
Si (0.627, 0.127, 0.000)
Sc (0.824, 0.324, 0.500)
Si (0.873, 0.627, 0.000)
Sc (0.176, 0.676, 0.500)
Si (0.127, 0.373, 0.000)
Sc (0.676, 0.824, 0.500)
Nb (0.500, 0.500, 0.000)


Record 2
Computed, not measured: an optimized crystal structure of Pr3SmI8 at the GGA-PBE level of DFT.

The crystal system is monoclinic. The total magnetization is 0.0 μB per formula unit. The value obtained for the uncorrected formation energy is -1.29 eV/atom. The calculation puts the density of states at the Fermi level at 0.52 states/eV per atom. Its space-group type is C2/m, No. 12. The raw total energy is -47.0 eV per formula unit.

a = 8.509 Å, b = 8.494 Å, c = 9.599 Å
α = 116.42°, β = 90.00°, γ = 120.06°
Atoms (fractional coordinates):
Pr (0.500, 0.000, 0.000)
I (0.247, 0.494, 0.248)
I (0.751, 0.503, 0.253)
I (0.756, 0.003, 0.248)
Sm (0.000, 0.000, 0.000)
I (0.249, 0.497, 0.747)
I (0.244, 0.997, 0.752)
I (0.753, 0.997, 0.752)
Pr (0.000, 0.500, 0.000)
I (0.247, 0.003, 0.248)
Pr (0.500, 0.500, 0.000)
I (0.753, 0.506, 0.752)


Record 3
Computed, not measured: an optimized crystal structure of AlRh2S4 at the GGA-PBE level of DFT.

The crystal system is trigonal. The total magnetization is 0.0 μB per formula unit. The value obtained for the uncorrected formation energy is -0.57 eV/atom. The calculation puts the density of states at the Fermi level at 0.43 states/eV per atom. Its space-group type is R-3m, No. 166. The raw total energy is -39.0 eV per formula unit.

a = 7.058 Å, b = 7.056 Å, c = 12.209 Å
α = 106.74°, β = 90.00°, γ = 120.01°
Atoms (fractional coordinates):
Rh (0.000, 0.500, 0.000)
Rh (0.000, 0.000, 0.500)
S (0.860, 0.220, 0.620)
S (0.360, 0.759, 0.120)
S (0.899, 0.759, 0.120)
S (0.140, 0.241, 0.380)
S (0.870, 0.241, 0.111)
Rh (0.750, 0.000, 0.750)
S (0.140, 0.780, 0.380)
Rh (0.500, 0.000, 0.500)
S (0.370, 0.241, 0.611)
S (0.640, 0.241, 0.880)
Al (0.938, 0.376, 0.313)
S (0.860, 0.759, 0.620)
S (0.601, 0.241, 0.380)
Rh (0.500, 0.000, 0.000)
S (0.640, 0.780, 0.880)
S (0.101, 0.241, 0.880)
S (0.630, 0.759, 0.389)
Rh (0.000, 0.000, 0.000)
Rh (0.500, 0.500, 0.500)
S (0.360, 0.220, 0.120)
S (0.399, 0.759, 0.620)
Rh (0.250, 0.000, 0.250)
S (0.130, 0.759, 0.889)
Al (0.062, 0.624, 0.687)
Al (0.562, 0.624, 0.187)
Al (0.438, 0.376, 0.813)


Record 4
Computed, not measured: an optimized crystal structure of K3Pa3Te8Au at the GGA-PBE level of DFT.

The crystal system is monoclinic. The total magnetization is 3.0 μB per formula unit. The value obtained for the uncorrected formation energy is -0.81 eV/atom. The calculation puts the density of states at the Fermi level at 1.01 states/eV per atom. Its space-group type is C2/m, No. 12. The raw total energy is -72.3 eV per formula unit.

a = 9.411 Å, b = 8.658 Å, c = 9.361 Å
α = 112.84°, β = 90.00°, γ = 122.92°
Last column: magnetic moment on the atom in μB.
Atoms (fractional coordinates):
Te (0.740, 0.045, 0.275)  -0.04
K (0.000, 0.500, 0.000)  0.00
Au (0.000, 0.000, 0.500)  -0.02
K (0.500, 0.500, 0.000)  0.00
Te (0.261, 0.521, 0.286)  -0.03
Te (0.739, 0.479, 0.714)  -0.03
Te (0.260, 0.955, 0.725)  -0.04
Te (0.306, 0.045, 0.275)  -0.04
K (0.000, 0.000, 0.000)  0.00
Pa (0.500, 0.000, 0.500)  0.99
Te (0.207, 0.414, 0.686)  -0.02
Pa (0.500, 0.500, 0.500)  0.99
Te (0.793, 0.586, 0.314)  -0.02
Te (0.694, 0.955, 0.725)  -0.04
Pa (0.000, 0.500, 0.500)  0.99


Record 5
Computed, not measured: an optimized crystal structure of CdFeTe2 at the GGA-PBE level of DFT.

The crystal system is monoclinic. The total magnetization is 1.8 μB per formula unit. The value obtained for the uncorrected formation energy is 0.07 eV/atom. The calculation puts the density of states at the Fermi level at 0.32 states/eV per atom. Its space-group type is Cm, No. 8. The raw total energy is -15.4 eV per formula unit.

a = 5.173 Å, b = 5.173 Å, c = 6.952 Å
α = 69.41°, β = 69.41°, γ = 39.12°
Last column: magnetic moment on the atom in μB.
Atoms (fractional coordinates):
Te (0.910, 0.910, 0.094)  0.01
Te (0.753, 0.753, 0.657)  0.01
Fe (0.281, 0.281, 0.374)  1.76
Cd (0.556, 0.556, 0.375)  -0.05


Record 6
Computed, not measured: an optimized crystal structure of CaMnIr at the GGA-PBE level of DFT.

The crystal system is orthorhombic. The total magnetization is 0.0 μB per formula unit. The energy above the most stable polymorph in this dataset is 0.54 eV per formula unit. The calculation puts the density of states at the Fermi level at 1.57 states/eV per atom. Its space-group type is Cmcm, No. 63. As for the formation energy from the elements: -0.57 kcal/mol of atoms. The raw total energy is -20.1 eV per formula unit.

a = 5.015 Å, b = 4.229 Å, c = 5.680 Å
α = 111.85°, β = 90.00°, γ = 90.00°
Atoms (fractional coordinates):
Mn (0.943, 0.681, 0.287)
Ca (0.692, 0.955, 0.836)
Ca (0.192, 0.406, 0.738)
Ir (0.192, 0.137, 0.200)
Mn (0.443, 0.681, 0.287)
Ir (0.692, 0.224, 0.374)


Record 7
Computed, not measured: an optimized crystal structure of Ca2RuW at the GGA-PBE level of DFT.

The crystal system is monoclinic. The total magnetization is 0.0 μB per formula unit. The energy above the most stable polymorph in this dataset is 2.09 eV per formula unit. The calculation puts the density of states at the Fermi level at 1.08 states/eV per atom. Its space-group type is C2/m, No. 12. As for the formation energy from the elements: 18.26 kcal/mol of atoms. The raw total energy is -23.1 eV per formula unit.

a = 6.178 Å, b = 5.628 Å, c = 2.977 Å
α = 89.95°, β = 61.29°, γ = 114.95°
Atoms (fractional coordinates):
W (0.500, 0.500, 0.000)
Ca (0.500, 0.000, 0.500)
Ca (0.000, 0.000, 0.000)
Ru (0.000, 0.500, 0.500)


Record 8
Computed, not measured: an optimized crystal structure of NaNd2NpSe4 at the GGA-PBE level of DFT.

The crystal system is monoclinic. The total magnetization is 4.5 μB per formula unit. The value obtained for the uncorrected formation energy is -1.55 eV/atom. The calculation puts the density of states at the Fermi level at 1.69 states/eV per atom. Its space-group type is P2/m, No. 10. The raw total energy is -50.1 eV per formula unit.

a = 4.194 Å, b = 7.274 Å, c = 7.296 Å
α = 70.54°, β = 90.00°, γ = 90.00°
Last column: magnetic moment on the atom in μB.
Atoms (fractional coordinates):
Se (0.000, 0.747, 0.749)  -0.02
Nd (0.500, 0.000, 0.500)  0.07
Se (0.500, 0.742, 0.254)  -0.04
Se (0.500, 0.258, 0.746)  -0.04
Np (0.000, 0.500, 0.500)  4.09
Nd (0.000, 0.000, 0.000)  0.03
Na (0.500, 0.500, 0.000)  0.00
Se (0.000, 0.253, 0.251)  -0.02


Record 9
Computed, not measured: an optimized crystal structure of LiTlS2 at the GGA-PBE level of DFT.

The crystal system is triclinic. The total magnetization is 0.0 μB per formula unit. The value obtained for the uncorrected formation energy is -0.56 eV/atom. The calculation puts the density of states at the Fermi level at 0.00 states/eV per atom. Its space-group type is P-1, No. 2. The raw total energy is -14.8 eV per formula unit.

a = 7.169 Å, b = 4.241 Å, c = 6.711 Å
α = 89.98°, β = 103.54°, γ = 72.85°
Atoms (fractional coordinates):
Tl (0.679, 0.327, 0.116)
S (0.268, 0.033, 0.931)
S (0.874, 0.729, 0.479)
S (0.759, 0.787, 0.747)
S (0.152, 0.091, 0.199)
Li (0.093, 0.620, 0.999)
Tl (0.347, 0.495, 0.561)
Li (0.934, 0.200, 0.680)


Record 10
Computed, not measured: an optimized crystal structure of Mn2ZnSbRu at the GGA-PBE level of DFT.

The crystal system is tetragonal. The total magnetization is 7.6 μB per formula unit. The value obtained for the uncorrected formation energy is 1.22 eV/atom. The calculation puts the density of states at the Fermi level at 1.06 states/eV per atom. Its space-group type is P4/mmm, No. 123. The raw total energy is -26.9 eV per formula unit.

a = 4.893 Å, b = 4.883 Å, c = 4.893 Å
α = 90.00°, β = 90.00°, γ = 90.00°
Last column: magnetic moment on the atom in μB.
Atoms (fractional coordinates):
Zn (0.500, 0.500, 0.500)  -0.07
Sb (0.000, 0.000, 0.000)  -0.08
Mn (0.500, 0.000, 0.000)  3.58
Ru (0.000, 0.500, 0.000)  0.00
Mn (0.000, 0.000, 0.500)  3.85